A plane-wave DFT calculation with GGA-PBE was carried out for a relaxed GaSiTc3 crystal.

Lattice parameters (Å, degrees): 4.5187 4.5187 4.5187 90.00 90.00 90.00
Last column: nearest neighbours and their distance in Å.
Space group Pm-3m (No. 221)
Unique sites:
Ga 0.0000 0.0000 0.0000 (multiplicity 1)  6 Tc 2.26
Si 0.5000 0.5000 0.5000 (multiplicity 1)  12 Tc 3.20
Tc 0.0000 0.0000 0.5000 (multiplicity 3)  2 Ga 2.26

Values from the calculation:
Formation energy (no corrections): 1.536 eV/atom
Energy above the most stable polymorph in this dataset: 772 meV per atom
DOS at the Fermi energy: 0.699 states/eV per atom
ρ: 7.05 g cm⁻³